1.
# CsCd2Bi

An optimized crystal structure of CsCd2Bi (PBE, Alexandria via LeMat-Bulk).

Summary:
- formation enthalpy at 0 K (meV per atom) = -128
- SG = R-3m, No. 166

a = 7.2790 Å, b = 7.2790 Å, c = 7.2790 Å
α = 43.39°, β = 43.39°, γ = 43.39°
Positions (direct):
1 Cs 0.0000 0.0000 0.0000
2 Cd 0.2001 0.2001 0.2001
3 Cd 0.7999 0.7999 0.7999
4 Bi 0.5000 0.5000 0.5000

---

2.
# CsCd6Bi6

An optimized crystal structure of CsCd6Bi6 (PBE, Alexandria via LeMat-Bulk).

Summary:
- formation enthalpy at 0 K (meV per atom) = 101
- SG = Pm-3, No. 200

a = 8.3115 Å, b = 8.3115 Å, c = 8.3115 Å
α = 90.00°, β = 90.00°, γ = 90.00°
Positions (direct):
1 Cs 0.0000 0.0000 0.0000
2 Cd 0.0000 0.2543 0.5000
3 Cd 0.0000 0.7457 0.5000
4 Cd 0.2543 0.5000 0.0000
5 Cd 0.5000 0.0000 0.2543
6 Cd 0.5000 0.0000 0.7457
7 Cd 0.7457 0.5000 0.0000
8 Bi 0.0000 0.5000 0.2461
9 Bi 0.0000 0.5000 0.7539
10 Bi 0.2461 0.0000 0.5000
11 Bi 0.5000 0.2461 0.0000
12 Bi 0.5000 0.7539 0.0000
13 Bi 0.7539 0.0000 0.5000

---

3.
# Cs3Cd2Bi4

An optimized crystal structure of Cs3Cd2Bi4 (PBE, Alexandria via LeMat-Bulk).

Summary:
- formation enthalpy at 0 K (meV per atom) = -255
- SG = C2/m, No. 12

a = 7.9123 Å, b = 7.9123 Å, c = 10.6278 Å
α = 102.53°, β = 102.53°, γ = 39.03°
Positions (direct):
1 Cs 0.0000 0.0000 0.0000
2 Cs 0.3622 0.3622 0.6156
3 Cs 0.6378 0.6378 0.3844
4 Cd 0.3802 0.3802 0.2234
5 Cd 0.6198 0.6198 0.7766
6 Bi 0.0846 0.0846 0.6309
7 Bi 0.2809 0.2809 0.9452
8 Bi 0.7191 0.7191 0.0548
9 Bi 0.9154 0.9154 0.3691

---

4.
# Cs3Cd7Bi4

An optimized crystal structure of Cs3Cd7Bi4 (PBE, Alexandria via LeMat-Bulk).

Summary:
- formation enthalpy at 0 K (meV per atom) = -159
- SG = C2/m, No. 12

a = 9.9913 Å, b = 9.9913 Å, c = 12.2101 Å
α = 116.41°, β = 116.41°, γ = 28.75°
Positions (direct):
1 Cs 0.0000 0.0000 0.0000
2 Cs 0.3016 0.3016 0.3549
3 Cs 0.6984 0.6984 0.6451
4 Cd 0.0000 0.0000 0.5000
5 Cd 0.0800 0.0800 0.3589
6 Cd 0.3222 0.3222 0.9421
7 Cd 0.4585 0.4585 0.2214
8 Cd 0.5415 0.5415 0.7786
9 Cd 0.6778 0.6778 0.0579
10 Cd 0.9200 0.9200 0.6411
11 Bi 0.1488 0.1488 0.8747
12 Bi 0.3732 0.3732 0.7324
13 Bi 0.6268 0.6268 0.2676
14 Bi 0.8512 0.8512 0.1253

---

5.
# CsCd4Bi

An optimized crystal structure of CsCd4Bi (PBE, Alexandria via LeMat-Bulk).

Summary:
- formation enthalpy at 0 K (meV per atom) = 41
- SG = F-43m, No. 216

a = 6.3719 Å, b = 6.3719 Å, c = 6.3719 Å
α = 60.00°, β = 60.00°, γ = 60.00°
Positions (direct):
1 Cs 0.0000 0.0000 0.0000
2 Cd 0.1297 0.6234 0.6234
3 Cd 0.6234 0.1297 0.6234
4 Cd 0.6234 0.6234 0.1297
5 Cd 0.6234 0.6234 0.6234
6 Bi 0.2500 0.2500 0.2500

---

6.
# Cs2Cd5Bi4

An optimized crystal structure of Cs2Cd5Bi4 (PBE, Alexandria via LeMat-Bulk).

Summary:
- formation enthalpy at 0 K (meV per atom) = -90
- SG = Fmmm, No. 69

a = 10.9191 Å, b = 9.1795 Å, c = 7.8428 Å
α = 79.38°, β = 55.72°, γ = 44.91°
Positions (direct):
1 Cs 0.1530 0.1530 0.8470
2 Cs 0.8470 0.8470 0.1530
3 Cd 0.0000 0.0000 0.5000
4 Cd 0.2500 0.2500 0.2500
5 Cd 0.5000 0.5000 0.0000
6 Cd 0.5000 0.5000 0.5000
7 Cd 0.7500 0.7500 0.7500
8 Bi 0.2212 0.5284 0.4716
9 Bi 0.4716 0.7788 0.2212
10 Bi 0.5284 0.2212 0.7788
11 Bi 0.7788 0.4716 0.5284

---

7.
# Cs2Cd5Bi3

An optimized crystal structure of Cs2Cd5Bi3 (PBE, Alexandria via LeMat-Bulk).

Summary:
- formation enthalpy at 0 K (meV per atom) = -196
- SG = Ibam, No. 72

a = 10.4068 Å, b = 10.4068 Å, c = 10.4068 Å
α = 105.14°, β = 89.59°, γ = 138.25°
Positions (direct):
1 Cs 0.1222 0.2493 0.3715
2 Cs 0.3778 0.7493 0.1270
3 Cs 0.6222 0.2507 0.8730
4 Cs 0.8778 0.7507 0.6285
5 Cd 0.0038 0.7500 0.2538
6 Cd 0.1312 0.6270 0.7583
7 Cd 0.2500 0.2500 0.0000
8 Cd 0.3688 0.1270 0.4958
9 Cd 0.4962 0.7500 0.7462
10 Cd 0.5038 0.2500 0.2538
11 Cd 0.6312 0.8730 0.5042
12 Cd 0.7500 0.7500 0.0000
13 Cd 0.8688 0.3730 0.2417
14 Cd 0.9962 0.2500 0.7462
15 Bi 0.1275 0.8709 0.9985
16 Bi 0.2500 0.7500 0.5000
17 Bi 0.3725 0.3709 0.7434
18 Bi 0.6275 0.6291 0.2566
19 Bi 0.7500 0.2500 0.5000
20 Bi 0.8725 0.1291 0.0015

---

8.
# Cs3Cd5Bi2

An optimized crystal structure of Cs3Cd5Bi2 (PBE, Alexandria via LeMat-Bulk).

Summary:
- formation enthalpy at 0 K (meV per atom) = -159
- SG = Ibam, No. 72

a = 11.0346 Å, b = 11.0346 Å, c = 11.0346 Å
α = 115.11°, β = 79.52°, γ = 139.25°
Positions (direct):
1 Cs 0.1249 0.7374 0.8624
2 Cs 0.2500 0.2500 0.0000
3 Cs 0.3751 0.2374 0.6125
4 Cs 0.6249 0.7626 0.3875
5 Cs 0.7500 0.7500 0.0000
6 Cs 0.8751 0.2626 0.1376
7 Cd 0.0019 0.2500 0.7519
8 Cd 0.1275 0.4040 0.5315
9 Cd 0.2500 0.7500 0.5000
10 Cd 0.3725 0.9040 0.2765
11 Cd 0.4981 0.2500 0.2481
12 Cd 0.5019 0.7500 0.7519
13 Cd 0.6275 0.0960 0.7235
14 Cd 0.7500 0.2500 0.5000
15 Cd 0.8725 0.5960 0.4685
16 Cd 0.9981 0.7500 0.2481
17 Bi 0.1590 0.1522 0.3112
18 Bi 0.3410 0.6522 0.9931
19 Bi 0.6590 0.3478 0.0069
20 Bi 0.8410 0.8478 0.6888

---

9.
# CsCdBi2

An optimized crystal structure of CsCdBi2 (PBE, Alexandria via LeMat-Bulk).

Summary:
- formation enthalpy at 0 K (meV per atom) = -208
- SG = P2_1/m, No. 11

a = 5.7465 Å, b = 5.0917 Å, c = 11.0144 Å
α = 90.00°, β = 104.97°, γ = 90.00°
Positions (direct):
1 Cs 0.1180 0.2500 0.2130
2 Cs 0.8820 0.7500 0.7870
3 Cd 0.3471 0.2500 0.6550
4 Cd 0.6529 0.7500 0.3450
5 Bi 0.2410 0.7500 0.4953
6 Bi 0.3702 0.2500 0.9326
7 Bi 0.6298 0.7500 0.0674
8 Bi 0.7590 0.2500 0.5047

---

10.
# CsCd2Bi

An optimized crystal structure of CsCd2Bi (PBE, Alexandria via LeMat-Bulk).

Summary:
- formation enthalpy at 0 K (meV per atom) = -90
- SG = I4_1/amd, No. 141

a = 11.3905 Å, b = 11.3905 Å, c = 11.3905 Å
α = 149.72°, β = 149.72°, γ = 43.35°
Positions (direct):
1 Cs 0.3750 0.6250 0.7500
2 Cs 0.6250 0.3750 0.2500
3 Cd 0.0000 0.0000 0.0000
4 Cd 0.0000 0.0000 0.5000
5 Cd 0.0000 0.5000 0.0000
6 Cd 0.5000 0.0000 0.5000
7 Bi 0.1250 0.8750 0.2500
8 Bi 0.8750 0.1250 0.7500

---

11.
# Cs2CdBiF6

An optimized crystal structure of Cs2CdBiF6 (PBE, Alexandria via LeMat-Bulk).

Summary:
- SG = I4/mmm, No. 139
- E_form (uncorrected) (meV/atom) = -2341

a = 6.7905 Å, b = 6.7905 Å, c = 6.7905 Å
α = 119.90°, β = 119.90°, γ = 90.18°
Positions (direct):
1 Cs 0.2500 0.7500 0.5000
2 Cs 0.7500 0.2500 0.5000
3 Cd 0.0000 0.0000 0.0000
4 Bi 0.5000 0.5000 0.0000
5 F 0.2596 0.2596 0.0000
6 F 0.2606 0.2606 0.5212
7 F 0.2606 0.7394 0.0000
8 F 0.7394 0.2606 0.0000
9 F 0.7394 0.7394 0.4788
10 F 0.7404 0.7404 0.0000

---

12.
# CsCdGaBi2

An optimized crystal structure of CsCdGaBi2 (PBE, Alexandria via LeMat-Bulk).

Summary:
- formation enthalpy at 0 K (meV per atom) = -195
- SG = I-4m2, No. 119

a = 7.6774 Å, b = 7.6774 Å, c = 7.6774 Å
α = 141.14°, β = 141.14°, γ = 56.12°
Positions (direct):
1 Cs 0.0000 0.0000 0.0000
2 Cd 0.2500 0.7500 0.5000
3 Ga 0.7500 0.2500 0.5000
4 Bi 0.3702 0.3702 0.0000
5 Bi 0.6298 0.6298 0.0000

---

13.
# Cs2Cd3GaBi4

An optimized crystal structure of Cs2Cd3GaBi4 (PBE, Alexandria via LeMat-Bulk).

Summary:
- formation enthalpy at 0 K (meV per atom) = -213
- SG = P-4m2, No. 115

a = 5.3937 Å, b = 5.3937 Å, c = 12.0397 Å
α = 90.00°, β = 90.00°, γ = 90.00°
Positions (direct):
1 Cs 0.0000 0.5000 0.2431
2 Cs 0.5000 0.0000 0.7569
3 Cd 0.0000 0.0000 0.0000
4 Cd 0.0000 0.5000 0.6298
5 Cd 0.5000 0.0000 0.3702
6 Ga 0.5000 0.5000 0.0000
7 Bi 0.0000 0.0000 0.5000
8 Bi 0.0000 0.5000 0.8803
9 Bi 0.5000 0.0000 0.1197
10 Bi 0.5000 0.5000 0.5000

---

14.
# Cs2CdGeBi

An optimized crystal structure of Cs2CdGeBi (PBE, Alexandria via LeMat-Bulk).

Summary:
- formation enthalpy at 0 K (meV per atom) = 327
- SG = P4/mmm, No. 123

a = 7.5937 Å, b = 7.5937 Å, c = 5.6301 Å
α = 90.00°, β = 90.00°, γ = 90.00°
Positions (direct):
1 Cs 0.0000 0.5000 0.0000
2 Cs 0.5000 0.0000 0.0000
3 Cd 0.0000 0.0000 0.5000
4 Ge 0.5000 0.5000 0.5000
5 Bi 0.0000 0.0000 0.0000

---

15.
# CsCdBiH

An optimized crystal structure of CsCdBiH (PBE, Alexandria via LeMat-Bulk).

Summary:
- SG = Fmm2, No. 42
- E (eV/atom) = -2.404

a = 7.9613 Å, b = 7.9360 Å, c = 3.9893 Å
α = 75.82°, β = 75.12°, γ = 29.07°
Positions (direct):
1 Cs 0.0000 0.0000 0.0000
2 Cd 0.7015 0.7015 0.2985
3 Bi 0.2937 0.2937 0.7063
4 H 0.5779 0.5779 0.4221

---

16.
# CsHfCdBi2

An optimized crystal structure of CsHfCdBi2 (PBE, Alexandria via LeMat-Bulk).

Summary:
- formation enthalpy at 0 K (meV per atom) = -55
- SG = P4/mmm, No. 123

a = 5.7075 Å, b = 5.7075 Å, c = 5.9261 Å
α = 90.00°, β = 90.00°, γ = 90.00°
Positions (direct):
1 Cs 0.0000 0.0000 0.0000
2 Hf 0.5000 0.5000 0.5000
3 Cd 0.5000 0.5000 0.0000
4 Bi 0.0000 0.5000 0.5000
5 Bi 0.5000 0.0000 0.5000

---

17.
# CsCdHgBi2

An optimized crystal structure of CsCdHgBi2 (PBE, Alexandria via LeMat-Bulk).

Summary:
- formation enthalpy at 0 K (meV per atom) = -159
- SG = P2/c, No. 13

a = 7.8111 Å, b = 7.7401 Å, c = 7.7084 Å
α = 90.00°, β = 119.42°, γ = 90.00°
Positions (direct):
1 Cs 0.0000 0.2329 0.2500
2 Cs 0.0000 0.7671 0.7500
3 Cd 0.5000 0.4972 0.7500
4 Cd 0.5000 0.5028 0.2500
5 Hg 0.5000 0.0000 0.0000
6 Hg 0.5000 0.0000 0.5000
7 Bi 0.2458 0.2960 0.8750
8 Bi 0.2458 0.7040 0.3750
9 Bi 0.7542 0.2960 0.6250
10 Bi 0.7542 0.7040 0.1250

---

18.
# Cs2Cd4HgBi3

An optimized crystal structure of Cs2Cd4HgBi3 (PBE, Alexandria via LeMat-Bulk).

Summary:
- formation enthalpy at 0 K (meV per atom) = -219
- SG = P-4m2, No. 115

a = 5.3982 Å, b = 5.3982 Å, c = 12.1031 Å
α = 90.00°, β = 90.00°, γ = 90.00°
Positions (direct):
1 Cs 0.0000 0.5000 0.2479
2 Cs 0.5000 0.0000 0.7521
3 Cd 0.0000 0.0000 0.0000
4 Cd 0.0000 0.5000 0.6216
5 Cd 0.5000 0.0000 0.3784
6 Cd 0.5000 0.5000 0.0000
7 Hg 0.0000 0.0000 0.5000
8 Bi 0.0000 0.5000 0.8719
9 Bi 0.5000 0.0000 0.1281
10 Bi 0.5000 0.5000 0.5000

---

19.
# CsCdHgBi

An optimized crystal structure of CsCdHgBi (PBE, Alexandria via LeMat-Bulk).

Summary:
- formation enthalpy at 0 K (meV per atom) = -74
- SG = F-43m, No. 216
- energy above the lowest structure with this stoichiometry (meV/atom) = 158

a = 5.8078 Å, b = 5.8078 Å, c = 5.8078 Å
α = 60.00°, β = 60.00°, γ = 60.00°
Positions (direct):
1 Cs 0.0000 0.0000 0.0000
2 Cd 0.7500 0.7500 0.7500
3 Hg 0.2500 0.2500 0.2500
4 Bi 0.5000 0.5000 0.5000

---

20.
# Cs2Cd3HgBi4

An optimized crystal structure of Cs2Cd3HgBi4 (PBE, Alexandria via LeMat-Bulk).

Summary:
- formation enthalpy at 0 K (meV per atom) = -219
- SG = P-4m2, No. 115

a = 5.3855 Å, b = 5.3855 Å, c = 12.2422 Å
α = 90.00°, β = 90.00°, γ = 90.00°
Positions (direct):
1 Cs 0.0000 0.5000 0.2442
2 Cs 0.5000 0.0000 0.7558
3 Cd 0.0000 0.0000 0.0000
4 Cd 0.0000 0.5000 0.6290
5 Cd 0.5000 0.0000 0.3710
6 Hg 0.5000 0.5000 0.0000
7 Bi 0.0000 0.0000 0.5000
8 Bi 0.0000 0.5000 0.8740
9 Bi 0.5000 0.0000 0.1260
10 Bi 0.5000 0.5000 0.5000

---

21.
# Cs2CdHgBi2

An optimized crystal structure of Cs2CdHgBi2 (PBE, Alexandria via LeMat-Bulk).

Summary:
- formation enthalpy at 0 K (meV per atom) = -297
- SG = Ibam, No. 72

a = 10.3681 Å, b = 10.3681 Å, c = 10.3681 Å
α = 137.92°, β = 61.04°, γ = 137.90°
Positions (direct):
1 Cs 0.1637 0.2420 0.4057
2 Cs 0.3363 0.7420 0.0782
3 Cs 0.6637 0.2580 0.9218
4 Cs 0.8363 0.7580 0.5943
5 Cd 0.2500 0.7500 0.5000
6 Cd 0.7500 0.2500 0.5000
7 Hg 0.2500 0.2500 0.0000
8 Hg 0.7500 0.7500 0.0000
9 Bi 0.0939 0.7439 0.8378
10 Bi 0.4061 0.2439 0.6501
11 Bi 0.5939 0.7561 0.3499
12 Bi 0.9061 0.2561 0.1622

---

22.
# Cs2CdHg3Bi4

An optimized crystal structure of Cs2CdHg3Bi4 (PBE, Alexandria via LeMat-Bulk).

Summary:
- formation enthalpy at 0 K (meV per atom) = -189
- SG = P-4m2, No. 115

a = 5.3860 Å, b = 5.3860 Å, c = 12.2924 Å
α = 90.00°, β = 90.00°, γ = 90.00°
Positions (direct):
1 Cs 0.0000 0.5000 0.2454
2 Cs 0.5000 0.0000 0.7546
3 Cd 0.5000 0.5000 0.0000
4 Hg 0.0000 0.0000 0.0000
5 Hg 0.0000 0.5000 0.6316
6 Hg 0.5000 0.0000 0.3684
7 Bi 0.0000 0.0000 0.5000
8 Bi 0.0000 0.5000 0.8753
9 Bi 0.5000 0.0000 0.1247
10 Bi 0.5000 0.5000 0.5000

---

23.
# CsCd2HgBi2

An optimized crystal structure of CsCd2HgBi2 (PBE, Alexandria via LeMat-Bulk).

Summary:
- formation enthalpy at 0 K (meV per atom) = -106
- SG = P-3m1, No. 164

a = 5.1087 Å, b = 5.1087 Å, c = 9.4021 Å
α = 90.00°, β = 90.00°, γ = 120.00°
Positions (direct):
1 Cs 0.0000 0.0000 0.0000
2 Cd 0.3333 0.6667 0.6333
3 Cd 0.6667 0.3333 0.3667
4 Hg 0.0000 0.0000 0.5000
5 Bi 0.3333 0.6667 0.2830
6 Bi 0.6667 0.3333 0.7170